This record from Alexandria describes HgSb2Te after structural relaxation. The functional is PBE-GGA.

Results
- Volume: 112 Å³ per cell
- Total moment: 0.0 Bohr magnetons per cell
- Raw formation energy: 1.1 eV per formula unit
- Space-group type: Cmmm, No. 65

Lattice parameters (Å, degrees): 6.451 6.451 3.091 90.00 90.00 119.85
Fractional positions:
Sb  0.000  0.000  0.000
Sb  0.500  0.500  0.000
Te  0.500  0.000  0.500
Hg  0.000  0.500  0.500

***

This record from Alexandria describes InIrPb2 after structural relaxation. The functional is PBE-GGA.

Results
- Volume: 96 Å³ per cell
- Total moment: 0.0 Bohr magnetons per cell
- Space-group type: Cmmm, No. 65
- ΔE_f: 174 kJ/mol of formula units

Lattice parameters (Å, degrees): 4.871 4.871 4.141 90.00 90.00 101.90
Fractional positions:
Pb  0.500  0.500  0.000
Pb  0.000  0.000  0.000
In  0.500  0.000  0.500
Ir  0.000  0.500  0.500

***

This record from Alexandria describes TmZr2Ta after structural relaxation. The functional is PBE-GGA.

Results
- Volume: 94 Å³ per cell
- Total moment: 0.0 Bohr magnetons per cell
- Space-group type: P4/mmm, No. 123
- ΔE_f: 55 kJ/mol of formula units

Lattice parameters (Å, degrees): 3.619 3.619 7.162 90.00 90.00 90.00
Fractional positions:
Zr  0.000  0.000  0.793
Zr  0.000  0.000  0.207
Ta  0.500  0.500  0.000
Tm  0.500  0.500  0.500

***

This record from Alexandria describes LaSiSbTe2 after structural relaxation. The functional is PBE-GGA.

Results
- Volume: 224 Å³ per cell
- Total moment: 0.0 Bohr magnetons per cell
- Raw formation energy: 3.0 eV per formula unit
- Space-group type: P4/mmm, No. 123

Lattice parameters (Å, degrees): 6.054 6.054 6.108 90.00 90.00 90.00
Fractional positions:
Te  0.500  0.000  0.000
Te  0.000  0.500  0.000
La  0.000  0.000  0.000
Sb  0.000  0.000  0.500
Si  0.500  0.500  0.500

***

This record from Alexandria describes La2Tb3NdY6 after structural relaxation. The functional is PBE-GGA.

Results
- Volume: 397 Å³ per cell
- Total moment: 0.0 Bohr magnetons per cell
- Space-group type: C2/m, No. 12
- ΔE_f: 21 kJ/mol of formula units

Lattice parameters (Å, degrees): 6.259 6.259 11.895 95.02 95.02 119.99
Fractional positions:
Nd  0.000  0.000  0.000
La  0.333  0.667  0.000
La  0.667  0.333  0.000
Tb  0.500  0.500  0.500
Tb  0.833  0.167  0.500
Tb  0.167  0.833  0.500
Y  0.915  0.582  0.746
Y  0.248  0.248  0.746
Y  0.085  0.418  0.254
Y  0.582  0.915  0.746
Y  0.418  0.085  0.254
Y  0.752  0.752  0.254

***

This record from Alexandria describes NaTcGe after structural relaxation. The functional is PBE-GGA.

Results
- Volume: 102 Å³ per cell
- Total moment: 0.0 Bohr magnetons per cell
- Space-group type: Fmmm, No. 69
- ΔE_f: 45 kJ/mol of formula units

Lattice parameters (Å, degrees): 6.101 5.317 5.318 62.37 50.31 50.31
Fractional positions:
Tc  0.856  0.029  0.587
Tc  0.856  0.289  0.846
Ge  0.356  0.409  0.467
Ge  0.356  0.909  0.967
Na  0.557  0.808  0.366
Na  0.155  0.509  0.067